1.
# PBEsol CsHf3Au, optimized geometry
data_CsHf3Au
_symmetry_space_group_name_H-M 'P m -3 m'
_symmetry_Int_Tables_number 221
_symmetry_space_group_name_Hall '-P 4 2 3'
_cell_length_a 5.104
_cell_length_b 5.104
_cell_length_c 5.104
_cell_angle_alpha 90.00
_cell_angle_beta 90.00
_cell_angle_gamma 90.00
loop_
_atom_site_label
_atom_site_fract_x
_atom_site_fract_y
_atom_site_fract_z
Cs1 0.000 0.000 0.000
Hf1 0.000 0.000 0.500
Au1 0.500 0.500 0.500
# - energy of formation (eV per formula unit) = 11.54
# - density (g/cm³) = 10.8

2.
# PBEsol InRh2Pb, optimized geometry
data_InRh2Pb
_symmetry_space_group_name_H-M 'P 4/m m m'
_symmetry_Int_Tables_number 123
_symmetry_space_group_name_Hall '-P 4 2'
_cell_length_a 4.680
_cell_length_b 4.680
_cell_length_c 3.145
_cell_angle_alpha 90.00
_cell_angle_beta 90.00
_cell_angle_gamma 90.00
loop_
_atom_site_label
_atom_site_fract_x
_atom_site_fract_y
_atom_site_fract_z
In1 0.000 0.000 0.000
Rh1 0.000 0.500 0.500
Pb1 0.500 0.500 0.000
# - energy of formation (eV per formula unit) = -0.47
# - density (g/cm³) = 12.7

3.
# PBEsol YMn2Re, optimized geometry
data_YMn2Re
_symmetry_space_group_name_H-M 'I -4 m 2'
_symmetry_Int_Tables_number 119
_symmetry_space_group_name_Hall 'I -4 -2'
_cell_length_a 3.743
_cell_length_b 3.743
_cell_length_c 8.790
_cell_angle_alpha 90.00
_cell_angle_beta 90.00
_cell_angle_gamma 90.00
loop_
_atom_site_label
_atom_site_fract_x
_atom_site_fract_y
_atom_site_fract_z
Y1 0.000 0.000 0.000
Mn1 0.000 0.000 0.500
Mn2 0.000 0.500 0.250
Re1 0.000 0.500 0.750
# - energy of formation (eV per formula unit) = 2.59
# - density (g/cm³) = 10.4

4.
# PBEsol KLi3As, optimized geometry
data_KLi3As
_symmetry_space_group_name_H-M 'P m -3 m'
_symmetry_Int_Tables_number 221
_symmetry_space_group_name_Hall '-P 4 2 3'
_cell_length_a 4.994
_cell_length_b 4.994
_cell_length_c 4.994
_cell_angle_alpha 90.00
_cell_angle_beta 90.00
_cell_angle_gamma 90.00
loop_
_atom_site_label
_atom_site_fract_x
_atom_site_fract_y
_atom_site_fract_z
K1 0.000 0.000 0.000
Li1 0.000 0.500 0.500
As1 0.500 0.500 0.500
# - energy of formation (eV per formula unit) = -1.83
# - density (g/cm³) = 1.8